1.
# Pm5Rh3Pb3

Pm5Rh3Pb3 after structural relaxation (PBE, Alexandria).

```
Pm5Rh3Pb3
1.0
8.9297 0.0000 0.0000
-4.4649 7.7334 0.0000
0.0000 0.0000 4.8614
Pm Rh Pb
5 3 3
Direct
0.0000 0.7563 0.0000 Pm
0.2437 0.2437 0.0000 Pm
0.3333 0.6667 0.0000 Pm
0.6667 0.3333 0.0000 Pm
0.7563 0.0000 0.0000 Pm
0.0000 0.3384 0.0000 Rh
0.3384 0.0000 0.0000 Rh
0.6616 0.6616 0.0000 Rh
0.0000 0.4747 0.5000 Pb
0.4747 0.0000 0.5000 Pb
0.5253 0.5253 0.5000 Pb
```

Properties
electronic total energy: -5.444 eV per atom
formation enthalpy at 0 K: -0.27 eV/atom
DOS at the Fermi energy: 9.73 states/eV/f.u.

2.
# CaCdTeN2

CaCdTeN2 after structural relaxation (PBE, Alexandria).

```
CaCdTeN2
1.0
4.4378 0.0000 0.0000
0.0000 4.4378 0.0000
0.0000 0.0000 6.1306
Ca Cd Te N
1 1 1 2
Direct
0.0000 0.0000 0.0000 Ca
0.5000 0.5000 0.5000 Cd
0.5000 0.5000 0.0000 Te
0.0000 0.5000 0.5000 N
0.5000 0.0000 0.5000 N
```

Properties
electronic total energy: -3.623 eV per atom
DOS at the Fermi energy: 2.43 states/eV/f.u.
ΔE_f (raw): 0.9191 eV/atom

3.
# NaSn2Pt4

NaSn2Pt4 after structural relaxation (PBE, Alexandria).

```
NaSn2Pt4
1.0
7.9813 0.0000 0.0000
0.0000 7.9813 0.0000
0.0000 0.0000 4.3218
Na Sn Pt
2 4 8
Direct
0.0000 0.0000 0.0000 Na
0.5000 0.5000 0.5000 Na
0.2220 0.2220 0.5000 Sn
0.2780 0.7220 0.0000 Sn
0.7220 0.2780 0.0000 Sn
0.7780 0.7780 0.5000 Sn
0.0920 0.6507 0.5000 Pt
0.1507 0.4080 0.0000 Pt
0.3493 0.9080 0.5000 Pt
0.4080 0.1507 0.0000 Pt
0.5920 0.8493 0.0000 Pt
0.6507 0.0920 0.5000 Pt
0.8493 0.5920 0.0000 Pt
0.9080 0.3493 0.5000 Pt
```

Properties
electronic total energy: -5.199 eV per atom
formation enthalpy at 0 K: -0.42 eV/atom
DOS at the Fermi energy: 3.73 states/eV/f.u.

4.
# Na6Sr8Ir

Na6Sr8Ir after structural relaxation (PBE, Alexandria).

```
Na6Sr8Ir
1.0
10.8746 0.0000 0.0000
-5.4373 9.4177 0.0000
0.0000 0.0000 6.6939
Na Sr Ir
6 8 1
Direct
0.0930 0.4799 0.2444 Na
0.3869 0.9070 0.2444 Na
0.4799 0.3869 0.7556 Na
0.5201 0.6131 0.2444 Na
0.6131 0.0930 0.7556 Na
0.9070 0.5201 0.7556 Na
0.0228 0.2324 0.7417 Sr
0.2096 0.9772 0.7417 Sr
0.2324 0.2096 0.2583 Sr
0.3333 0.6667 0.7448 Sr
0.6667 0.3333 0.2552 Sr
0.7676 0.7904 0.7417 Sr
0.7904 0.0228 0.2583 Sr
0.9772 0.7676 0.2583 Sr
0.0000 0.0000 0.5000 Ir
```

Properties
electronic total energy: -2.048 eV per atom
formation enthalpy at 0 K: -0.03 eV/atom
DOS at the Fermi energy: 11.22 states/eV/f.u.

5.
# CaNi9Sn2

CaNi9Sn2 after structural relaxation (PBE, Alexandria).

```
CaNi9Sn2
1.0
8.2199 0.0000 0.0000
0.0000 8.2199 0.0000
0.0000 0.0000 4.9074
Ca Ni Sn
2 18 4
Direct
0.0000 0.0000 0.0000 Ca
0.5000 0.5000 0.0000 Ca
0.0000 0.5000 0.5000 Ni
0.0669 0.2071 0.5000 Ni
0.1731 0.6731 0.2472 Ni
0.1731 0.6731 0.7528 Ni
0.2071 0.9331 0.5000 Ni
0.2929 0.4331 0.5000 Ni
0.3269 0.1731 0.2472 Ni
0.3269 0.1731 0.7528 Ni
0.4331 0.7071 0.5000 Ni
0.5000 0.0000 0.5000 Ni
0.5669 0.2929 0.5000 Ni
0.6731 0.8269 0.2472 Ni
0.6731 0.8269 0.7528 Ni
0.7071 0.5669 0.5000 Ni
0.7929 0.0669 0.5000 Ni
0.8269 0.3269 0.2472 Ni
0.8269 0.3269 0.7528 Ni
0.9331 0.7929 0.5000 Ni
0.1291 0.3709 0.0000 Sn
0.3709 0.8709 0.0000 Sn
0.6291 0.1291 0.0000 Sn
0.8709 0.6291 0.0000 Sn
```

Properties
electronic total energy: -5.332 eV per atom
formation enthalpy at 0 K: -0.16 eV/atom
DOS at the Fermi energy: 18.74 states/eV/f.u.

6.
# BaSbPCl2

BaSbPCl2 after structural relaxation (PBE, Alexandria).

```
BaSbPCl2
1.0
5.4312 0.0000 0.0000
0.0000 5.4312 0.0000
0.0000 0.0000 5.2151
Ba Sb P Cl
1 1 1 2
Direct
0.0000 0.0000 0.0000 Ba
0.5000 0.5000 0.5000 Sb
0.5000 0.5000 0.0000 P
0.0000 0.5000 0.5000 Cl
0.5000 0.0000 0.5000 Cl
```

Properties
electronic total energy: -3.857 eV per atom
DOS at the Fermi energy: 1.10 states/eV/f.u.
ΔE_f (raw): -0.8275 eV/atom

7.
# KNaI2O

KNaI2O after structural relaxation (PBE, Alexandria).

```
KNaI2O
1.0
6.5985 0.0000 0.0000
0.0000 6.5985 0.0000
0.0000 0.0000 5.1518
K Na I O
1 1 2 1
Direct
0.0000 0.0000 0.0000 K
0.5000 0.5000 0.5000 Na
0.0000 0.5000 0.0000 I
0.5000 0.0000 0.0000 I
0.0000 0.0000 0.5000 O
```

Properties
electronic total energy: -2.458 eV per atom
DOS at the Fermi energy: 5.56 states/eV/f.u.
ΔE_f (raw): -0.3634 eV/atom

8.
# Ca3CrB

Ca3CrB after structural relaxation (PBE, Alexandria).

```
Ca3CrB
1.0
5.1991 0.0000 0.0000
0.0000 5.1991 0.0000
0.0000 0.0000 5.1991
Ca Cr B
3 1 1
Direct
0.0000 0.0000 0.5000 Ca
0.0000 0.5000 0.0000 Ca
0.5000 0.0000 0.0000 Ca
0.5000 0.5000 0.5000 Cr
0.0000 0.0000 0.0000 B
```

Properties
electronic total energy: -3.407 eV per atom
formation enthalpy at 0 K: 1.05 eV/atom
DOS at the Fermi energy: 11.14 states/eV/f.u.

9.
# RbNaLiAs

RbNaLiAs after structural relaxation (PBE, Alexandria).

```
RbNaLiAs
1.0
4.7785 0.0000 0.0000
-2.3893 4.1383 0.0000
0.0000 0.0000 18.9138
Rb Na Li As
3 3 3 3
Direct
0.0000 0.0000 0.0000 Rb
0.3333 0.6667 0.6667 Rb
0.6667 0.3333 0.3333 Rb
0.0000 0.0000 0.8178 Na
0.3333 0.6667 0.4845 Na
0.6667 0.3333 0.1512 Na
0.0000 0.0000 0.5368 Li
0.3333 0.6667 0.2035 Li
0.6667 0.3333 0.8701 Li
0.0000 0.0000 0.2032 As
0.3333 0.6667 0.8699 As
0.6667 0.3333 0.5366 As
```

Properties
electronic total energy: -2.645 eV per atom
formation enthalpy at 0 K: -0.43 eV/atom
DOS at the Fermi energy: 0.56 states/eV/f.u.

10.
# CrRe13B6

CrRe13B6 after structural relaxation (PBE, Alexandria).

```
CrRe13B6
1.0
7.4991 0.0000 0.0000
-3.7495 6.4944 0.0000
0.0000 0.0000 4.9386
Cr Re B
1 13 6
Direct
0.0000 0.0000 0.0000 Cr
0.1201 0.2402 0.5480 Re
0.1201 0.8799 0.5480 Re
0.2097 0.4195 0.0481 Re
0.2097 0.7903 0.0481 Re
0.3333 0.6667 0.5030 Re
0.4196 0.2098 0.8460 Re
0.5441 0.0883 0.3457 Re
0.5441 0.4559 0.3457 Re
0.5805 0.7903 0.0481 Re
0.7598 0.8799 0.5480 Re
0.7902 0.2098 0.8460 Re
0.7902 0.5804 0.8460 Re
0.9117 0.4559 0.3457 Re
0.0476 0.5238 0.7559 B
0.2806 0.1403 0.2477 B
0.4762 0.5238 0.7559 B
0.4762 0.9524 0.7559 B
0.8597 0.1403 0.2477 B
0.8597 0.7194 0.2477 B
```

Properties
electronic total energy: -10.813 eV per atom
formation enthalpy at 0 K: -0.24 eV/atom
DOS at the Fermi energy: 14.14 states/eV/f.u.

11.
# Zr5Os3

Zr5Os3 after structural relaxation (PBE, Alexandria).

```
Zr5Os3
1.0
7.9493 0.0000 0.0000
-3.9747 6.8843 0.0000
0.0000 0.0000 5.6969
Zr Os
10 6
Direct
0.0000 0.2379 0.2500 Zr
0.0000 0.7621 0.7500 Zr
0.2379 0.0000 0.2500 Zr
0.2379 0.2379 0.7500 Zr
0.3333 0.6667 0.0000 Zr
0.3333 0.6667 0.5000 Zr
0.6667 0.3333 0.0000 Zr
0.6667 0.3333 0.5000 Zr
0.7621 0.0000 0.7500 Zr
0.7621 0.7621 0.2500 Zr
0.0000 0.4016 0.7500 Os
0.0000 0.5984 0.2500 Os
0.4016 0.0000 0.7500 Os
0.4016 0.4016 0.2500 Os
0.5984 0.0000 0.2500 Os
0.5984 0.5984 0.7500 Os
```

Properties
electronic total energy: -9.899 eV per atom
formation enthalpy at 0 K: -0.35 eV/atom
DOS at the Fermi energy: 7.31 states/eV/f.u.

12.
# NaLa2Sc

NaLa2Sc after structural relaxation (PBE, Alexandria).

```
NaLa2Sc
1.0
8.0775 0.0000 0.0000
0.0000 8.0775 0.0000
0.0000 0.0000 8.0775
Na La Sc
4 8 4
Direct
0.0000 0.0000 0.0000 Na
0.0000 0.5000 0.5000 Na
0.5000 0.0000 0.5000 Na
0.5000 0.5000 0.0000 Na
0.2500 0.2500 0.2500 La
0.2500 0.2500 0.7500 La
0.2500 0.7500 0.2500 La
0.2500 0.7500 0.7500 La
0.7500 0.2500 0.2500 La
0.7500 0.2500 0.7500 La
0.7500 0.7500 0.2500 La
0.7500 0.7500 0.7500 La
0.0000 0.0000 0.5000 Sc
0.0000 0.5000 0.0000 Sc
0.5000 0.0000 0.0000 Sc
0.5000 0.5000 0.5000 Sc
```

Properties
electronic total energy: -4.127 eV per atom
formation enthalpy at 0 K: 0.25 eV/atom
DOS at the Fermi energy: 3.96 states/eV/f.u.

13.
# La3Tb2Pm6

La3Tb2Pm6 after structural relaxation (PBE, Alexandria).

```
La3Tb2Pm6
1.0
2.9043 1.6768 13.1680
-2.9043 1.6768 13.1680
0.0000 -3.3536 13.1680
La Tb Pm
3 2 6
Direct
0.0000 0.0000 0.0000 La
0.2826 0.2826 0.2826 La
0.7174 0.7174 0.7174 La
0.4597 0.4597 0.4597 Tb
0.5403 0.5403 0.5403 Tb
0.0921 0.0921 0.0921 Pm
0.1859 0.1859 0.1859 Pm
0.3758 0.3758 0.3758 Pm
0.6242 0.6242 0.6242 Pm
0.8141 0.8141 0.8141 Pm
0.9079 0.9079 0.9079 Pm
```

Properties
electronic total energy: -4.670 eV per atom
formation enthalpy at 0 K: 0.11 eV/atom
DOS at the Fermi energy: 20.01 states/eV/f.u.

14.
# HgTeSe3

HgTeSe3 after structural relaxation (PBE, Alexandria).

```
HgTeSe3
1.0
5.3954 0.0000 0.0000
0.0000 5.3954 0.0000
0.0000 0.0000 5.3954
Hg Te Se
1 1 3
Direct
0.0000 0.0000 0.0000 Hg
0.5000 0.5000 0.5000 Te
0.0000 0.5000 0.5000 Se
0.5000 0.0000 0.5000 Se
0.5000 0.5000 0.0000 Se
```

Properties
electronic total energy: -2.316 eV per atom
DOS at the Fermi energy: 5.53 states/eV/f.u.
ΔE_f (raw): 0.4639 eV/atom

15.
# Sm7InRu2

Sm7InRu2 after structural relaxation (PBE, Alexandria).

```
Sm7InRu2
1.0
4.5378 -6.9126 0.0000
4.5378 6.9126 0.0000
0.0000 0.0000 5.2711
Sm In Ru
7 1 2
Direct
0.0000 0.0000 0.0000 Sm
0.1855 0.4456 0.0000 Sm
0.2216 0.7784 0.5000 Sm
0.4456 0.1855 0.0000 Sm
0.5544 0.8145 0.0000 Sm
0.7784 0.2216 0.5000 Sm
0.8145 0.5544 0.0000 Sm
0.5000 0.5000 0.5000 In
0.1984 0.8016 0.0000 Ru
0.8016 0.1984 0.0000 Ru
```

Properties
electronic total energy: -5.505 eV per atom
formation enthalpy at 0 K: -0.07 eV/atom
DOS at the Fermi energy: 9.20 states/eV/f.u.

16.
# Cu2BO

Cu2BO after structural relaxation (PBE, Alexandria).

```
Cu2BO
1.0
5.3329 0.0000 0.0000
0.0000 5.3329 0.0000
0.0000 0.0000 5.3329
Cu B O
8 4 4
Direct
0.2500 0.2500 0.2500 Cu
0.2500 0.2500 0.7500 Cu
0.2500 0.7500 0.2500 Cu
0.2500 0.7500 0.7500 Cu
0.7500 0.2500 0.2500 Cu
0.7500 0.2500 0.7500 Cu
0.7500 0.7500 0.2500 Cu
0.7500 0.7500 0.7500 Cu
0.0000 0.0000 0.0000 B
0.0000 0.5000 0.5000 B
0.5000 0.0000 0.5000 B
0.5000 0.5000 0.0000 B
0.0000 0.0000 0.5000 O
0.0000 0.5000 0.0000 O
0.5000 0.0000 0.0000 O
0.5000 0.5000 0.5000 O
```

Properties
electronic total energy: -4.473 eV per atom
DOS at the Fermi energy: 1.29 states/eV/f.u.
ΔE_f (raw): 0.4844 eV/atom

17.
# ErScBe2

ErScBe2 after structural relaxation (PBE, Alexandria).

```
ErScBe2
1.0
6.5584 0.0000 0.0000
0.0000 6.5584 0.0000
0.0000 0.0000 6.5584
Er Sc Be
4 4 8
Direct
0.0000 0.0000 0.0000 Er
0.0000 0.5000 0.5000 Er
0.5000 0.0000 0.5000 Er
0.5000 0.5000 0.0000 Er
0.0000 0.0000 0.5000 Sc
0.0000 0.5000 0.0000 Sc
0.5000 0.0000 0.0000 Sc
0.5000 0.5000 0.5000 Sc
0.2500 0.2500 0.2500 Be
0.2500 0.2500 0.7500 Be
0.2500 0.7500 0.2500 Be
0.2500 0.7500 0.7500 Be
0.7500 0.2500 0.2500 Be
0.7500 0.2500 0.7500 Be
0.7500 0.7500 0.2500 Be
0.7500 0.7500 0.7500 Be
```

Properties
electronic total energy: -4.558 eV per atom
formation enthalpy at 0 K: 0.03 eV/atom
DOS at the Fermi energy: 3.25 states/eV/f.u.

18.
# CeDyAl

CeDyAl after structural relaxation (PBE, Alexandria).

```
CeDyAl
1.0
5.1898 0.0000 0.0000
-2.5949 4.4945 0.0000
0.0000 0.0000 3.0602
Ce Dy Al
1 1 1
Direct
0.0000 0.0000 0.0000 Ce
0.6667 0.3333 0.9981 Dy
0.3333 0.6667 0.4999 Al
```

Properties
electronic total energy: -4.782 eV per atom
formation enthalpy at 0 K: -0.02 eV/atom
DOS at the Fermi energy: 5.09 states/eV/f.u.

19.
# Al2Zn2Ni7

Al2Zn2Ni7 after structural relaxation (PBE, Alexandria).

```
Al2Zn2Ni7
1.0
4.2689 -2.5408 0.0000
4.2689 2.5408 0.0000
-0.0239 0.0000 6.6112
Al Zn Ni
2 2 7
Direct
0.2190 0.2190 0.0006 Al
0.7810 0.7810 0.9994 Al
0.2638 0.7362 0.5000 Zn
0.7362 0.2638 0.5000 Zn
0.0000 0.0000 0.2037 Ni
0.0000 0.0000 0.7963 Ni
0.0014 0.4997 0.6931 Ni
0.4997 0.0014 0.6931 Ni
0.5000 0.5000 0.0000 Ni
0.5003 0.9986 0.3069 Ni
0.9986 0.5003 0.3069 Ni
```

Properties
electronic total energy: -4.566 eV per atom
formation enthalpy at 0 K: 0.03 eV/atom
DOS at the Fermi energy: 9.31 states/eV/f.u.

20.
# ZrAl

ZrAl after structural relaxation (PBE, Alexandria).

```
ZrAl
1.0
4.1067 0.0000 0.0000
-2.0533 3.5565 0.0000
0.0000 0.0000 5.9145
Zr Al
2 2
Direct
0.3333 0.6667 0.2500 Zr
0.6667 0.3333 0.7500 Zr
0.0000 0.0000 0.0000 Al
0.0000 0.0000 0.5000 Al
```

Properties
electronic total energy: -6.212 eV per atom
formation enthalpy at 0 K: -0.07 eV/atom
DOS at the Fermi energy: 1.84 states/eV/f.u.